{"formula": "Li2HfSbPd", "functional": "PBE", "state": "optimized geometry", "energy_ha_per_atom": -0.133, "n_ef_per_ev_cell": 3.081, "raw_formation_energy_kj_per_mol_atoms": 97.0, "cell": [[5.1799, 0.0000, 0.0000], [0.0000, 5.1799, 0.0000], [0.0000, 0.0000, 5.3344]], "species": ["Li", "Li", "Hf", "Sb", "Pd"], "frac_coords": [[0.0000, 0.5000, 0.0000], [0.5000, 0.0000, 0.0000], [0.0000, 0.0000, 0.0000], [0.0000, 0.0000, 0.5000], [0.5000, 0.5000, 0.5000]]}